w) Computed, not measured: a geometry-optimized Ti3CdC structure at the GGA-PBE level of DFT.

Calculated values
DOS(E_F) = 3.67 states/eV/f.u.
ρ = 5.45 g/cm³
Crystal system = orthorhombic

a = 5.761 Å, b = 10.596 Å, c = 5.347 Å
α = 90.00°, β = 90.00°, γ = 90.00°
Space group Cmcm (No. 63)
One atom of each set of equivalent atoms:
Ti (0.000, 0.000, 0.000) x4
Ti (0.247, 0.285, 0.250) x8
Cd (0.000, 0.452, 0.750) x4
C (0.000, 0.152, 0.250) x4

---

x) Computed, not measured: a geometry-optimized Ti3CdC structure at the GGA-PBE level of DFT.

Calculated values
DOS(E_F) = 5.60 states/eV/f.u.
ρ = 5.83 g/cm³
Crystal system = orthorhombic

a = 9.243 Å, b = 12.176 Å, c = 5.429 Å
α = 90.00°, β = 90.00°, γ = 90.00°
Space group Cmce (No. 64)
One atom of each set of equivalent atoms:
Ti (0.000, 0.045, 0.235) x8
Ti (0.000, 0.224, 0.550) x8
Ti (0.250, 0.093, 0.750) x8
Cd (0.250, 0.168, 0.250) x8
C (0.000, 0.117, 0.873) x8

---

The structure with the most favorable energy is x); the runner-up is 319 meV per atom above it.

---

w) Computed, not measured: a geometry-optimized Ti3CdC structure at the GGA-PBE level of DFT.

Calculated values
DOS(E_F) = 3.59 states/eV/f.u.
ρ = 5.70 g/cm³
Crystal system = triclinic

a = 3.020 Å, b = 5.093 Å, c = 10.731 Å
α = 85.35°, β = 81.96°, γ = 72.91°
Space group P1 (No. 1)
One atom of each set of equivalent atoms:
Ti (0.000, 0.000, 0.000) x1
Ti (0.033, 0.577, 0.356) x1
Ti (0.359, 0.042, 0.243) x1
Ti (0.563, 0.090, 0.782) x1
Ti (0.677, 0.524, 0.119) x1
Ti (0.807, 0.526, 0.863) x1
Cd (0.374, 0.632, 0.620) x1
Cd (0.702, 0.106, 0.488) x1
C (0.015, 0.789, 0.180) x1
C (0.361, 0.307, 0.972) x1

---

x) Computed, not measured: a geometry-optimized Ti3CdC structure at the GGA-PBE level of DFT.

Calculated values
DOS(E_F) = 3.74 states/eV/f.u.
ρ = 5.66 g/cm³
Crystal system = monoclinic

a = 5.150 Å, b = 3.097 Å, c = 10.015 Å
α = 90.00°, β = 100.22°, γ = 90.00°
Space group P2_1/m (No. 11)
One atom of each set of equivalent atoms:
Ti (0.007, 0.250, 0.248) x2
Ti (0.262, 0.250, 0.997) x2
Ti (0.491, 0.250, 0.755) x2
Cd (0.249, 0.750, 0.497) x2
C (0.366, 0.750, 0.871) x2

---

y) Computed, not measured: a geometry-optimized Ti3CdC structure at the GGA-PBE level of DFT.

Calculated values
DOS(E_F) = 4.45 states/eV/f.u.
ρ = 4.64 g/cm³
Crystal system = hexagonal

a = 4.0344 Å, b = 4.0344 Å, c = 13.6000 Å
α = 90.00°, β = 90.00°, γ = 120.00°
Space group P6_3/mmc (No. 194)
One atom of each set of equivalent atoms:
Ti (0.0000, 0.0000, 0.2500) x2
Ti (0.3333, 0.6667, 0.0533) x4
Cd (0.3333, 0.6667, 0.2500) x2
C (0.0000, 0.0000, 0.0000) x2

---

z) Computed, not measured: a geometry-optimized Ti3CdC structure at the GGA-PBE level of DFT.

Calculated values
DOS(E_F) = 3.13 states/eV/f.u.
ρ = 5.69 g/cm³
Crystal system = monoclinic

a = 9.768 Å, b = 12.178 Å, c = 5.259 Å
α = 90.00°, β = 90.87°, γ = 90.00°
Space group C2/c (No. 15)
One atom of each set of equivalent atoms:
Ti (0.114, 0.068, 0.087) x8
Ti (0.124, 0.187, 0.589) x8
Ti (0.126, 0.307, 0.062) x8
Cd (0.133, 0.439, 0.568) x8
C (0.000, 0.063, 0.750) x4
C (0.000, 0.196, 0.250) x4

---

The structure with the most favorable energy is z); the runner-up is 30 meV per atom above it.

---

w) Computed, not measured: a geometry-optimized Ti3CdC structure at the GGA-PBE level of DFT.

Calculated values
DOS(E_F) = 4.99 states/eV/f.u.
ρ = 5.67 g/cm³
Crystal system = monoclinic

a = 11.145 Å, b = 3.041 Å, c = 10.515 Å
α = 90.00°, β = 118.26°, γ = 90.00°
Space group C2/m (No. 12)
One atom of each set of equivalent atoms:
Ti (0.116, 0.000, 0.217) x4
Ti (0.129, 0.000, 0.737) x4
Ti (0.130, 0.500, 0.981) x4
Cd (0.125, 0.500, 0.478) x4
C (0.250, 0.000, 0.129) x4

---

x) Computed, not measured: a geometry-optimized Ti3CdC structure at the GGA-PBE level of DFT.

Calculated values
DOS(E_F) = 3.80 states/eV/f.u.
ρ = 4.96 g/cm³
Crystal system = hexagonal

a = 3.5057 Å, b = 3.5057 Å, c = 16.8751 Å
α = 90.00°, β = 90.00°, γ = 120.00°
Space group P6_3/mmc (No. 194)
One atom of each set of equivalent atoms:
Ti (0.0000, 0.0000, 0.2500) x2
Ti (0.3333, 0.6667, 0.1289) x4
Cd (0.0000, 0.0000, 0.0000) x2
C (0.3333, 0.6667, 0.2500) x2

---

y) Computed, not measured: a geometry-optimized Ti3CdC structure at the GGA-PBE level of DFT.

Calculated values
DOS(E_F) = 5.59 states/eV/f.u.
ρ = 4.84 g/cm³
Crystal system = orthorhombic

a = 7.866 Å, b = 11.632 Å, c = 4.018 Å
α = 90.00°, β = 90.00°, γ = 90.00°
Space group Cmcm (No. 63)
One atom of each set of equivalent atoms:
Ti (0.000, 0.000, 0.000) x4
Ti (0.159, 0.420, 0.250) x8
Cd (0.000, 0.229, 0.750) x4
C (0.000, 0.422, 0.750) x4

---

The structure with the most favorable energy is w); the runner-up is 430 meV per atom above it.

---

w) Computed, not measured: a geometry-optimized TiCd3C structure at the GGA-PBE level of DFT.

Calculated values
DOS(E_F) = 5.29 states/eV/f.u.
ρ = 6.81 g/cm³
Crystal system = cubic

a = 4.591 Å, b = 4.591 Å, c = 4.591 Å
α = 90.00°, β = 90.00°, γ = 90.00°
Space group Pm-3m (No. 221)
One atom of each set of equivalent atoms:
Ti (0.000, 0.000, 0.000) x1
Cd (0.000, 0.500, 0.500) x3
C (0.500, 0.500, 0.500) x1

---

x) Computed, not measured: a geometry-optimized TiCd3C structure at the GGA-PBE level of DFT.

Calculated values
DOS(E_F) = 5.92 states/eV/f.u.
ρ = 4.01 g/cm³
Crystal system = cubic

a = 5.477 Å, b = 5.477 Å, c = 5.477 Å
α = 90.00°, β = 90.00°, γ = 90.00°
Space group Pm-3m (No. 221)
One atom of each set of equivalent atoms:
Ti (0.000, 0.000, 0.000) x1
Cd (0.000, 0.000, 0.500) x3
C (0.500, 0.500, 0.500) x1

---

The structure with the most favorable energy is w); the runner-up is 1028 meV per atom above it.

---

w) Computed, not measured: a geometry-optimized TlCd2C structure at the GGA-PBE level of DFT.

Calculated values
DOS(E_F) = 3.83 states/eV/f.u.
ρ = 6.32 g/cm³
Crystal system = tetragonal

a = 6.906 Å, b = 6.906 Å, c = 9.722 Å
α = 90.00°, β = 90.00°, γ = 90.00°
Space group I4_1/amd (No. 141, origin choice 2)
One atom of each set of equivalent atoms:
Tl (0.000, 0.250, 0.375) x4
Cd (0.000, 0.000, 0.000) x8
C (0.000, 0.250, 0.875) x4

---

x) Computed, not measured: a geometry-optimized TlCd2C structure at the GGA-PBE level of DFT.

Calculated values
DOS(E_F) = 1.87 states/eV/f.u.
ρ = 8.98 g/cm³
Crystal system = cubic

a = 6.884 Å, b = 6.884 Å, c = 6.884 Å
α = 90.00°, β = 90.00°, γ = 90.00°
Space group Fm-3m (No. 225)
One atom of each set of equivalent atoms:
Tl (0.000, 0.000, 0.000) x4
Cd (0.250, 0.250, 0.250) x8
C (0.000, 0.000, 0.500) x4

---

The structure with the most favorable energy is w); the runner-up is 495 meV per atom above it.

---

w) Computed, not measured: a geometry-optimized VCdC3 structure at the GGA-PBE level of DFT.

Calculated values
DOS(E_F) = 3.20 states/eV/f.u.
ρ = 5.27 g/cm³
Crystal system = cubic

a = 3.974 Å, b = 3.974 Å, c = 3.974 Å
α = 90.00°, β = 90.00°, γ = 90.00°
Space group Pm-3m (No. 221)
One atom of each set of equivalent atoms:
V (0.000, 0.000, 0.000) x1
Cd (0.500, 0.500, 0.500) x1
C (0.000, 0.000, 0.500) x3

---

x) Computed, not measured: a geometry-optimized VCdC3 structure at the GGA-PBE level of DFT.

Calculated values
DOS(E_F) = 5.60 states/eV/f.u.
ρ = 4.52 g/cm³
Crystal system = cubic

a = 4.184 Å, b = 4.184 Å, c = 4.184 Å
α = 90.00°, β = 90.00°, γ = 90.00°
Space group Pm-3m (No. 221)
One atom of each set of equivalent atoms:
V (0.000, 0.000, 0.000) x1
Cd (0.500, 0.500, 0.500) x1
C (0.000, 0.500, 0.500) x3

---

The structure with the most favorable energy is w); the runner-up is 1615 meV per atom above it.

---

w) Computed, not measured: a geometry-optimized VCd3C structure at the GGA-PBE level of DFT.

Calculated values
DOS(E_F) = 6.69 states/eV/f.u.
ρ = 6.71 g/cm³
Crystal system = cubic

a = 4.628 Å, b = 4.628 Å, c = 4.628 Å
α = 90.00°, β = 90.00°, γ = 90.00°
Space group Pm-3m (No. 221)
One atom of each set of equivalent atoms:
V (0.000, 0.000, 0.000) x1
Cd (0.000, 0.500, 0.500) x3
C (0.500, 0.500, 0.500) x1

---

x) Computed, not measured: a geometry-optimized VCd3C structure at the GGA-PBE level of DFT.

Calculated values
DOS(E_F) = 9.58 states/eV/f.u.
ρ = 4.01 g/cm³
Crystal system = cubic

a = 5.491 Å, b = 5.491 Å, c = 5.491 Å
α = 90.00°, β = 90.00°, γ = 90.00°
Space group Pm-3m (No. 221)
One atom of each set of equivalent atoms:
V (0.000, 0.000, 0.000) x1
Cd (0.000, 0.000, 0.500) x3
C (0.500, 0.500, 0.500) x1

---

The structure with the most favorable energy is w); the runner-up is 899 meV per atom above it.

---

w) Computed, not measured: a geometry-optimized Cd3WC structure at the GGA-PBE level of DFT.

Calculated values
DOS(E_F) = 4.51 states/eV/f.u.
ρ = 5.34 g/cm³
Crystal system = cubic

a = 5.494 Å, b = 5.494 Å, c = 5.494 Å
α = 90.00°, β = 90.00°, γ = 90.00°
Space group Pm-3m (No. 221)
One atom of each set of equivalent atoms:
Cd (0.000, 0.000, 0.500) x3
W (0.000, 0.000, 0.000) x1
C (0.500, 0.500, 0.500) x1

---

x) Computed, not measured: a geometry-optimized Cd3WC structure at the GGA-PBE level of DFT.

Calculated values
DOS(E_F) = 3.20 states/eV/f.u.
ρ = 9.26 g/cm³
Crystal system = cubic

a = 4.573 Å, b = 4.573 Å, c = 4.573 Å
α = 90.00°, β = 90.00°, γ = 90.00°
Space group Pm-3m (No. 221)
One atom of each set of equivalent atoms:
Cd (0.000, 0.000, 0.500) x3
W (0.500, 0.500, 0.500) x1
C (0.000, 0.000, 0.000) x1

---

The structure with the most favorable energy is x); the runner-up is 835 meV per atom above it.

---

w) Computed, not measured: a geometry-optimized Cd2W2C structure at the GGA-PBE level of DFT.

Calculated values
DOS(E_F) = 2.51 states/eV/f.u.
ρ = 11.29 g/cm³
Crystal system = tetragonal

a = 3.464 Å, b = 3.464 Å, c = 14.817 Å
α = 90.00°, β = 90.00°, γ = 90.00°
Space group I4/mmm (No. 139)
One atom of each set of equivalent atoms:
Cd (0.000, 0.500, 0.250) x4
W (0.000, 0.000, 0.078) x4
C (0.000, 0.000, 0.500) x2

---

x) Computed, not measured: a geometry-optimized Cd2W2C structure at the GGA-PBE level of DFT.

Calculated values
DOS(E_F) = 2.93 states/eV/f.u.
ρ = 12.17 g/cm³
Crystal system = tetragonal

a = 5.696 Å, b = 5.696 Å, c = 5.085 Å
α = 90.00°, β = 90.00°, γ = 90.00°
Space group P4/mbm (No. 127)
One atom of each set of equivalent atoms:
Cd (0.169, 0.331, 0.000) x4
W (0.170, 0.670, 0.500) x4
C (0.000, 0.000, 0.500) x2

---

The structure with the most favorable energy is x); the runner-up is 1540 meV per atom above it.

---

w) Computed, not measured: a geometry-optimized Y3CdC structure at the GGA-PBE level of DFT.

Calculated values
DOS(E_F) = 5.27 states/eV/f.u.
ρ = 4.76 g/cm³
Crystal system = orthorhombic

a = 3.495 Å, b = 9.573 Å, c = 8.165 Å
α = 90.00°, β = 90.00°, γ = 90.00°
Space group Amm2 (No. 38)
One atom of each set of equivalent atoms:
Y (0.000, 0.000, 0.000) x2
Y (0.500, 0.173, 0.319) x4
Cd (0.500, 0.000, 0.672) x2
C (0.000, 0.000, 0.283) x2

---

x) Computed, not measured: a geometry-optimized Y3CdC structure at the GGA-PBE level of DFT.

Calculated values
DOS(E_F) = 0.60 states/eV/f.u.
ρ = 5.22 g/cm³
Crystal system = triclinic

a = 6.144 Å, b = 6.837 Å, c = 6.842 Å
α = 62.72°, β = 79.01°, γ = 78.87°
Space group P-1 (No. 2)
One atom of each set of equivalent atoms:
Y (0.175, 0.164, 0.164) x2
Y (0.288, 0.147, 0.684) x2
Y (0.290, 0.684, 0.146) x2
Cd (0.272, 0.647, 0.645) x2
C (0.000, 0.000, 0.000) x1
C (0.500, 0.000, 0.000) x1

---

The structure with the most favorable energy is x); the runner-up is 328 meV per atom above it.